No. 1
Compound: Sm4PdSe3
Source: Alexandria
Functional: PBE-GGA
Structure: optimized geometry

```
data_Sm4PdSe3
_symmetry_space_group_name_H-M 'C m m m'
_symmetry_Int_Tables_number 65
_symmetry_space_group_name_Hall '-C 2 2'
_cell_length_a 8.466
_cell_length_b 11.877
_cell_length_c 4.116
_cell_angle_alpha 90.00
_cell_angle_beta 90.00
_cell_angle_gamma 90.00
loop_
_atom_site_label
_atom_site_type_symbol
_atom_site_fract_x
_atom_site_fract_y
_atom_site_fract_z
_atom_site_occupancy
Sm1 Sm 0.000 0.250 0.000 1
Sm2 Sm 0.242 0.000 0.500 1
Pd1 Pd 0.000 0.000 0.000 1
Se1 Se 0.000 0.500 0.000 1
Se2 Se 0.250 0.250 0.500 1
```

Values from the calculation:
The volume is 25.9 Å³/atom. The formation energy from raw total energies is -12.399 eV/f.u. The value obtained for the density is 7580 kg/m³. As for the crystal system: orthorhombic.

No. 2
Compound: LaVIn3
Source: Alexandria
Functional: PBE-GGA
Structure: optimized geometry

```
data_LaVIn3
_symmetry_space_group_name_H-M 'P m -3 m'
_symmetry_Int_Tables_number 221
_symmetry_space_group_name_Hall '-P 4 2 3'
_cell_length_a 5.145
_cell_length_b 5.145
_cell_length_c 5.145
_cell_angle_alpha 90.00
_cell_angle_beta 90.00
_cell_angle_gamma 90.00
loop_
_atom_site_label
_atom_site_type_symbol
_atom_site_fract_x
_atom_site_fract_y
_atom_site_fract_z
_atom_site_occupancy
La1 La 0.000 0.000 0.000 1
V1 V 0.500 0.500 0.500 1
In1 In 0.000 0.500 0.500 1
```

Values from the calculation:
The volume is 27.2 Å³/atom. Its formation energy from the elements is -0.013 eV/atom. The value obtained for the density is 6515 kg/m³. As for the crystal system: cubic.

No. 3
Compound: CsYCr2Cd
Source: Alexandria
Functional: PBE-GGA
Structure: optimized geometry

```
data_CsYCr2Cd
_symmetry_space_group_name_H-M 'P 4/m m m'
_symmetry_Int_Tables_number 123
_symmetry_space_group_name_Hall '-P 4 2'
_cell_length_a 5.389
_cell_length_b 5.389
_cell_length_c 5.864
_cell_angle_alpha 90.00
_cell_angle_beta 90.00
_cell_angle_gamma 90.00
loop_
_atom_site_label
_atom_site_type_symbol
_atom_site_fract_x
_atom_site_fract_y
_atom_site_fract_z
_atom_site_occupancy
Cs1 Cs 0.000 0.000 0.000 1
Y1 Y 0.500 0.500 0.500 1
Cr1 Cr 0.000 0.500 0.000 1
Cd1 Cd 0.000 0.000 0.500 1
```

Values from the calculation:
The volume is 34.1 Å³/atom. Its formation energy from the elements is 1.829 eV/atom. The value obtained for the density is 4273 kg/m³. As for the crystal system: tetragonal.